1.
YZrRh2 after structural relaxation. Source: Alexandria, functional PBE.

a b c (Å): 4.6972 4.6972 4.6972
angles (deg): 60.00 60.00 60.00
With the nearest neighbours (Å) after each atom.
Positions (direct):
Zr: 0.2500 0.2500 0.2500  4 Rh 2.88, 4 Y 2.88
Y: 0.5000 0.5000 0.5000  4 Zr 2.88, 4 Rh 2.88
Rh: 0.0000 0.0000 0.0000  4 Zr 2.88, 4 Rh 2.88
Rh: 0.7500 0.7500 0.7500  4 Rh 2.88, 4 Y 2.88

For the density, the calculation gives 8.7 g cm⁻³. The value obtained for the formation energy is -317 meV per atom. The calculation puts the volume at 73 Å³ per cell. The energy is -7.7461 eV per atom.

=====

2.
Y5ZrRh6 after structural relaxation. Source: Alexandria, functional PBE.

a b c (Å): 4.7772 7.0023 8.3122
angles (deg): 65.09 73.33 90.00
With the nearest neighbours (Å) after each atom.
Positions (direct):
Rh: 0.8397 0.5989 0.3207  1 Zr 2.85, 7 Y 2.92-3.05
Rh: 0.5000 0.2327 0.0000  2 Zr 2.89, 6 Y 2.91-3.04
Rh: 0.8397 0.0804 0.3206  1 Zr 2.85, 7 Y 2.92-3.05
Rh: 0.5000 0.7673 0.0000  2 Zr 2.89, 6 Y 2.91-3.04
Rh: 0.1603 0.4011 0.6793  1 Zr 2.85, 7 Y 2.92-3.05
Rh: 0.1603 0.9196 0.6794  1 Zr 2.85, 7 Y 2.92-3.05
Zr: 0.0000 0.0000 0.0000  8 Rh 2.85-2.89
Y: 0.6652 0.6653 0.6694  8 Rh 3.00-3.02, 1 Y 3.36
Y: 0.6685 0.1684 0.6631  8 Rh 2.91-3.05
Y: 0.0000 0.5000 0.0000  8 Rh 2.92-3.04
Y: 0.3348 0.3347 0.3306  8 Rh 3.00-3.02, 1 Y 3.36
Y: 0.3315 0.8316 0.3369  8 Rh 2.91-3.05

For the density, the calculation gives 8.0 g cm⁻³. The value obtained for the formation energy is -830 meV per atom. The calculation puts the volume at 239 Å³ per cell. The energy is -7.9117 eV per atom.

=====

3.
YZr4Rh after structural relaxation. Source: Alexandria, functional PBE.

a b c (Å): 5.7952 5.7952 5.7952
angles (deg): 60.00 60.00 60.00
With the nearest neighbours (Å) after each atom.
Positions (direct):
Zr: 0.3751 0.3751 0.8746  6 Zr 2.89-2.90
Zr: 0.3751 0.8746 0.3751  6 Zr 2.89-2.90
Zr: 0.3751 0.3751 0.3751  6 Zr 2.89-2.90
Zr: 0.8746 0.3751 0.3751  6 Zr 2.89-2.90
Rh: 0.7500 0.7500 0.7500  12 Zr 3.40, 4 Y 3.55
Y: 0.0000 0.0000 0.0000  12 Zr 3.40, 4 Rh 3.55

For the density, the calculation gives 6.7 g cm⁻³. The value obtained for the formation energy is 267 meV per atom. The calculation puts the volume at 138 Å³ per cell. The energy is -7.7341 eV per atom.

=====

4.
YZr2Rh after structural relaxation. Source: Alexandria, functional PBE.

a b c (Å): 4.7157 3.3021 5.8542
angles (deg): 73.82 90.00 90.00
With the nearest neighbours (Å) after each atom.
Positions (direct):
Y: 0.5000 0.7500 0.7500  2 Rh 2.93, 4 Zr 3.18
Rh: 0.5000 0.2500 0.2500  4 Zr 2.85, 2 Y 2.93
Zr: 0.0000 0.0585 0.0268  2 Zr 2.83-3.13, 2 Rh 2.85
Zr: 0.0000 0.4415 0.4732  2 Zr 2.83-3.13, 2 Rh 2.85

For the density, the calculation gives 7.1 g cm⁻³. The value obtained for the formation energy is -211 meV per atom. The calculation puts the volume at 88 Å³ per cell. The energy above the most stable polymorph in this dataset comes out at 0.167 eV per atom. The energy is -7.9389 eV per atom.

=====

5.
YZr2Rh after structural relaxation. Source: Alexandria, functional PBE.

a b c (Å): 4.9629 4.9629 3.4290
angles (deg): 90.00 90.00 90.00
With the nearest neighbours (Å) after each atom.
Positions (direct):
Y: 0.0000 0.5000 0.5000  8 Zr 3.02
Rh: 0.5000 0.0000 0.5000  8 Zr 3.02
Zr: 0.0000 0.0000 0.0000  4 Rh 3.02, 4 Y 3.02
Zr: 0.5000 0.5000 0.0000  4 Y 3.02, 4 Rh 3.02

For the density, the calculation gives 7.4 g cm⁻³. The value obtained for the formation energy is -81 meV per atom. The calculation puts the volume at 84 Å³ per cell. The energy above the most stable polymorph in this dataset comes out at 0.297 eV per atom. The energy is -7.8090 eV per atom.

=====

6.
YZr2Rh after structural relaxation. Source: Alexandria, functional PBE.

a b c (Å): 5.8652 5.8652 5.8652
angles (deg): 145.34 129.05 63.09
With the nearest neighbours (Å) after each atom.
Positions (direct):
Zr: 0.9978 0.9978 0.0000  4 Rh 3.07, 4 Y 3.32-3.33, 4 Zr 3.32-3.33
Zr: 0.7137 0.2137 0.5000  2 Rh 2.69
Rh: 0.5086 0.5086 0.0000  2 Zr 2.69, 2 Y 2.88
Y: 0.2799 0.7799 0.5000  2 Rh 2.88, 4 Zr 3.14

For the density, the calculation gives 7.1 g cm⁻³. The value obtained for the formation energy is -290 meV per atom. The calculation puts the volume at 88 Å³ per cell. The energy above the most stable polymorph in this dataset comes out at 0.089 eV per atom. The energy is -8.0178 eV per atom.

=====

7.
YZr2Rh after structural relaxation. Source: Alexandria, functional PBE.

a b c (Å): 4.4099 4.4099 6.4099
angles (deg): 69.88 69.88 60.00
With the nearest neighbours (Å) after each atom.
Positions (direct):
Rh: 0.6751 0.6751 0.9746  6 Zr 2.66-2.77
Zr: 0.2801 0.2801 0.1598  3 Rh 2.77
Zr: 0.0521 0.0521 0.8438  3 Rh 2.66
Y: 0.4927 0.4927 0.5218  6 Zr 3.17-3.32, 1 Rh 3.22

For the density, the calculation gives 6.3 g cm⁻³. The value obtained for the formation energy is -166 meV per atom. The calculation puts the volume at 99 Å³ per cell. The energy above the most stable polymorph in this dataset comes out at 0.213 eV per atom. The energy is -7.8937 eV per atom.

=====

8.
Y2ZrRh2 after structural relaxation. Source: Alexandria, functional PBE.

a b c (Å): 7.1225 7.1225 4.3520
angles (deg): 90.00 90.00 90.00
With the nearest neighbours (Å) after each atom.
Positions (direct):
Rh: 0.6403 0.1403 0.0000  2 Zr 2.75, 1 Rh 2.83, 2 Y 2.90
Rh: 0.3597 0.8597 0.0000  2 Zr 2.75, 1 Rh 2.83, 2 Y 2.90
Rh: 0.1403 0.3597 0.0000  2 Zr 2.75, 1 Rh 2.83, 2 Y 2.90
Rh: 0.8597 0.6403 0.0000  2 Zr 2.75, 1 Rh 2.83, 2 Y 2.90
Zr: 0.0000 0.0000 0.0000  4 Rh 2.75
Zr: 0.5000 0.5000 0.0000  4 Rh 2.75
Y: 0.1694 0.6694 0.5000  6 Rh 2.90-3.11
Y: 0.6694 0.8306 0.5000  6 Rh 2.90-3.11
Y: 0.3306 0.1694 0.5000  6 Rh 2.90-3.11
Y: 0.8306 0.3306 0.5000  6 Rh 2.90-3.11

For the density, the calculation gives 7.1 g cm⁻³. The value obtained for the formation energy is -661 meV per atom. The calculation puts the volume at 221 Å³ per cell. The energy above the most stable polymorph in this dataset comes out at 0.038 eV per atom. The energy is -7.8971 eV per atom.

=====

9.
Y3ZrRh after structural relaxation. Source: Alexandria, functional PBE.

a b c (Å): 5.3146 5.3146 5.3146
angles (deg): 90.00 90.00 90.00
With the nearest neighbours (Å) after each atom.
Positions (direct):
Rh: 0.5000 0.5000 0.5000  12 Y 3.76
Y: 0.0000 0.5000 0.0000  2 Zr 2.66
Y: 0.5000 0.0000 0.0000  2 Zr 2.66
Y: 0.0000 0.0000 0.5000  2 Zr 2.66
Zr: 0.0000 0.0000 0.0000  6 Y 2.66

For the density, the calculation gives 5.1 g cm⁻³. The value obtained for the formation energy is 964 meV per atom. The calculation puts the volume at 150 Å³ per cell. The energy above the most stable polymorph in this dataset comes out at 0.944 eV per atom. The energy is -6.0946 eV per atom.

=====

10.
YZr2Rh after structural relaxation. Source: Alexandria, functional PBE.

a b c (Å): 8.0162 8.0162 6.4125
angles (deg): 51.31 51.31 90.00
With the nearest neighbours (Å) after each atom.
Positions (direct):
Rh: 0.0000 0.0000 0.0000  4 Zr 2.61
Rh: 0.7500 0.2500 0.5000  4 Zr 2.61
Zr: 0.0613 0.6250 0.2500  2 Rh 2.61
Zr: 0.8750 0.9387 0.7500  2 Rh 2.61
Zr: 0.3750 0.3113 0.7500  2 Rh 2.61
Zr: 0.6887 0.1250 0.2500  2 Rh 2.61
Y: 0.2500 0.7500 0.5000  2 Rh 3.00, 4 Zr 3.30
Y: 0.5000 0.5000 0.0000  2 Rh 3.00, 4 Zr 3.30

For the density, the calculation gives 6.5 g cm⁻³. The value obtained for the formation energy is -158 meV per atom. The calculation puts the volume at 193 Å³ per cell. The energy above the most stable polymorph in this dataset comes out at 0.220 eV per atom. The energy is -7.8863 eV per atom.

=====

11.
YZrRh2 after structural relaxation. Source: Alexandria, functional PBE.

a b c (Å): 7.2731 7.2731 6.0111
angles (deg): 52.77 52.77 90.00
With the nearest neighbours (Å) after each atom.
Positions (direct):
Zr: 0.0000 0.0000 0.0000  4 Rh 2.59
Zr: 0.7500 0.2500 0.5000  4 Rh 2.59
Y: 0.2500 0.7500 0.5000  4 Rh 2.79, 2 Zr 3.11
Y: 0.5000 0.5000 0.0000  4 Rh 2.79, 2 Zr 3.11
Rh: 0.3750 0.3547 0.7500  2 Zr 2.59, 2 Y 2.79
Rh: 0.1047 0.6250 0.2500  2 Zr 2.59, 2 Y 2.79
Rh: 0.8750 0.8953 0.7500  2 Zr 2.59, 2 Y 2.79
Rh: 0.6453 0.1250 0.2500  2 Zr 2.59, 2 Y 2.79

For the density, the calculation gives 7.8 g cm⁻³. The value obtained for the formation energy is -413 meV per atom. The calculation puts the volume at 165 Å³ per cell. The energy is -7.8423 eV per atom.

=====

12.
YZr2Rh after structural relaxation. Source: Alexandria, functional PBE.

a b c (Å): 4.3769 3.3472 6.4482
angles (deg): 72.43 90.00 90.00
With the nearest neighbours (Å) after each atom.
Positions (direct):
Y: 0.5000 0.6936 0.7229  2 Rh 2.93, 1 Zr 3.10
Rh: 0.0000 0.4748 0.4744  3 Zr 2.69-2.81, 2 Y 2.93
Zr: 0.0000 0.9936 0.0405  1 Rh 2.81, 4 Zr 3.03-3.12
Zr: 0.5000 0.3381 0.2622  2 Rh 2.69

For the density, the calculation gives 6.9 g cm⁻³. The value obtained for the formation energy is -213 meV per atom. The calculation puts the volume at 90 Å³ per cell. The energy above the most stable polymorph in this dataset comes out at 0.166 eV per atom. The energy is -7.9406 eV per atom.